Record 1
An optimized crystal structure of NaCdSbS3, computed with PBE-GGA. Values from VASP.

- Theoretical density: 4.1 g/cm³
- Total magnetic moment: 0.000 μB/f.u.
- SG: C2/c, No. 15
- Uncorrected formation energy: -0.642 eV/atom

Geometry as Quantum ESPRESSO input:
```
&SYSTEM
  ibrav = 0, nat = 24, ntyp = 4
/
ATOMIC_SPECIES
Na 22.99 Na.upf
Cd 112.41 Cd.upf
Sb 121.76 Sb.upf
S 32.06 S.upf
CELL_PARAMETERS angstrom
4.1185 -4.1687 0.0000
4.1185 4.1687 0.0000
-3.9320 0.0000 16.8072
ATOMIC_POSITIONS angstrom
Na 1.0213 1.2191 1.3321
Na -0.9447 -1.2191 9.7357
Na 5.2496 1.2191 7.0715
Na 3.2836 -1.2191 15.4751
Cd 3.1355 3.0317 4.2018
Cd 1.1695 1.0726 12.6054
Cd 3.1355 -1.0726 4.2018
Cd 1.1695 -3.0317 12.6054
Sb 1.0566 0.9914 6.8162
Sb -0.9095 -0.9914 15.2198
Sb 5.2144 0.9914 1.5874
Sb 3.2484 -0.9914 9.9910
S -2.7588 0.6626 15.1812
S 1.0528 1.3498 4.3413
S -0.7928 -0.6626 6.7775
S 1.3413 0.5944 10.0579
S -0.9132 -1.3498 12.7449
S 0.9976 0.5944 15.1530
S 3.3074 -0.5944 1.6543
S 5.2181 1.3498 4.0623
S 2.9636 -0.5944 6.7493
S 5.0978 0.6626 10.0297
S 3.2521 -1.3498 12.4660
S 7.0638 -0.6626 1.6261
```

Record 2
An optimized crystal structure of Na4CdSb3S8, computed with PBE-GGA. Values from VASP.

- Theoretical density: 3.8 g/cm³
- Total magnetic moment: 0.000 μB/f.u.
- SG: R-3m, No. 166
- Uncorrected formation energy: -0.651 eV/atom

Geometry as Quantum ESPRESSO input:
```
&SYSTEM
  ibrav = 0, nat = 16, ntyp = 4
/
ATOMIC_SPECIES
Na 22.99 Na.upf
Cd 112.41 Cd.upf
Sb 121.76 Sb.upf
S 32.06 S.upf
CELL_PARAMETERS angstrom
3.9345 2.2716 6.7649
-3.9345 2.2716 6.7649
0.0000 -4.5432 6.7649
ATOMIC_POSITIONS angstrom
Na 0.0000 0.0000 0.0000
Na -1.9673 -1.1358 6.7649
Na -1.9672 1.1358 13.5297
Na 0.0000 2.2716 6.7649
Cd 0.0000 0.0000 10.1473
Sb -3.9345 0.0000 10.1473
Sb -1.9672 1.1358 3.3824
Sb 1.9673 1.1358 3.3824
S -1.9789 -1.1425 11.6811
S 0.0000 0.0000 4.9541
S 0.0000 -2.2850 8.6135
S -1.9789 1.1425 8.6135
S 1.9789 -1.1425 11.6811
S 0.0000 2.2850 11.6811
S 0.0000 0.0000 15.3405
S 1.9789 1.1425 8.6134
```

Record 3
An optimized crystal structure of Na2Cd2Se2S, computed with PBE-GGA. Values from VASP.

- Theoretical density: 4.0 g/cm³
- Total magnetic moment: 0.000 μB/f.u.
- SG: C2/m, No. 12
- Uncorrected formation energy: -0.803 eV/atom

Geometry as Quantum ESPRESSO input:
```
&SYSTEM
  ibrav = 0, nat = 7, ntyp = 4
/
ATOMIC_SPECIES
Na 22.99 Na.upf
Cd 112.41 Cd.upf
Se 78.96 Se.upf
S 32.06 S.upf
CELL_PARAMETERS angstrom
6.9373 -2.1201 0.0000
6.9373 2.1201 0.0000
-3.0577 0.0000 6.5491
ATOMIC_POSITIONS angstrom
Na 0.1907 0.0000 2.4391
Na 10.6263 0.0000 4.1100
Cd 3.8520 0.0000 1.2782
Cd 6.9649 0.0000 5.2709
Se 1.7347 0.0000 5.2725
Se 9.0823 0.0000 1.2766
S 5.4085 0.0000 3.2746
```

Record 4
An optimized crystal structure of NaCd2SiS4, computed with PBE-GGA. Values from VASP.

- Theoretical density: 3.3 g/cm³
- Total magnetic moment: 0.000 μB/f.u.
- SG: Fmm2, No. 42
- Uncorrected formation energy: -0.613 eV/atom

Geometry as Quantum ESPRESSO input:
```
&SYSTEM
  ibrav = 0, nat = 8, ntyp = 4
/
ATOMIC_SPECIES
Na 22.99 Na.upf
Cd 112.41 Cd.upf
Si 28.09 Si.upf
S 32.06 S.upf
CELL_PARAMETERS angstrom
0.0000 4.3984 5.3339
4.3927 0.0000 5.3339
4.3927 4.3984 0.0000
ATOMIC_POSITIONS angstrom
Na 0.0000 0.0000 0.0000
Cd 2.1964 2.1992 2.6710
Cd 6.5891 6.5976 8.0049
Si 4.3927 4.3984 5.3400
S 4.3927 2.6083 4.1321
S 6.1825 4.3984 6.5481
S 4.3927 6.1886 4.1321
S 2.6030 4.3984 6.5481
```

Record 5
An optimized crystal structure of Na2CdSnS4, computed with PBE-GGA. Values from VASP.

- Theoretical density: 3.0 g/cm³
- Total magnetic moment: 0.000 μB/f.u.
- SG: Pmn2_1, No. 31
- Uncorrected formation energy: -0.786 eV/atom

Geometry as Quantum ESPRESSO input:
```
&SYSTEM
  ibrav = 0, nat = 16, ntyp = 4
/
ATOMIC_SPECIES
Na 22.99 Na.upf
Cd 112.41 Cd.upf
Sn 118.71 Sn.upf
S 32.06 S.upf
CELL_PARAMETERS angstrom
8.1635 0.0000 0.0000
0.0000 7.8688 0.0000
0.0000 0.0000 6.8990
ATOMIC_POSITIONS angstrom
Na 1.9989 1.2950 0.0000
Na 2.0828 6.5738 3.4495
Na 6.0807 6.5738 3.4495
Na 6.1646 1.2950 0.0000
Cd 0.0000 2.8080 3.4298
Cd 4.0818 5.0608 6.8793
Sn 0.0000 5.1839 0.0221
Sn 4.0818 2.6849 3.4716
S 0.0000 2.9552 6.0107
S 0.0000 5.1450 2.4382
S 1.9704 6.4454 6.2307
S 2.1114 1.4234 2.7812
S 4.0818 2.7238 5.8877
S 4.0818 4.9137 2.5612
S 6.0522 1.4234 2.7812
S 6.1931 6.4454 6.2307
```

Record 6
An optimized crystal structure of Na2CdSnS4, computed with PBE-GGA. Values from VASP.

- Theoretical density: 3.1 g/cm³
- Total magnetic moment: 0.000 μB/f.u.
- SG: I-4, No. 82
- Uncorrected formation energy: -0.793 eV/atom

Geometry as Quantum ESPRESSO input:
```
&SYSTEM
  ibrav = 0, nat = 8, ntyp = 4
/
ATOMIC_SPECIES
Na 22.99 Na.upf
Cd 112.41 Cd.upf
Sn 118.71 Sn.upf
S 32.06 S.upf
CELL_PARAMETERS angstrom
-3.2139 3.2139 5.3318
3.2139 -3.2139 5.3318
3.2139 3.2139 -5.3318
ATOMIC_POSITIONS angstrom
Na 0.0000 0.0000 0.0000
Na 0.0000 3.2139 2.6659
Cd 0.0000 0.0000 5.3318
Sn 3.2139 0.0000 2.6659
S 1.6979 -1.3635 3.9780
S 1.8504 1.5160 1.3538
S 1.5160 4.5774 -1.3538
S 1.3635 1.6979 6.6856
```

Record 7
An optimized crystal structure of Na4CdSn3S8, computed with PBE-GGA. Values from VASP.

- Theoretical density: 3.8 g/cm³
- Total magnetic moment: 0.000 μB/f.u.
- SG: R-3m, No. 166
- Uncorrected formation energy: -0.727 eV/atom

Geometry as Quantum ESPRESSO input:
```
&SYSTEM
  ibrav = 0, nat = 16, ntyp = 4
/
ATOMIC_SPECIES
Na 22.99 Na.upf
Cd 112.41 Cd.upf
Sn 118.71 Sn.upf
S 32.06 S.upf
CELL_PARAMETERS angstrom
3.8846 2.2428 6.7586
-3.8846 2.2428 6.7586
0.0000 -4.4856 6.7586
ATOMIC_POSITIONS angstrom
Na 0.0000 0.0000 0.0000
Na -1.9423 -1.1214 6.7586
Na -1.9423 1.1214 13.5172
Na 0.0000 2.2428 6.7586
Cd 0.0000 0.0000 10.1379
Sn -3.8846 0.0000 10.1379
Sn -1.9423 1.1214 3.3793
Sn 1.9423 1.1214 3.3793
S -1.9703 -1.1376 11.6413
S 0.0000 0.0000 4.9177
S 0.0000 -2.2751 8.6344
S -1.9703 1.1376 8.6344
S 1.9703 -1.1376 11.6413
S 0.0000 2.2751 11.6413
S 0.0000 0.0000 15.3580
S 1.9703 1.1376 8.6344
```

Record 8
An optimized crystal structure of Na3Cd2SnS6, computed with PBE-GGA. Values from VASP.

- Theoretical density: 3.9 g/cm³
- Total magnetic moment: 0.001 μB/f.u.
- SG: C2/m, No. 12
- Uncorrected formation energy: -0.699 eV/atom

Geometry as Quantum ESPRESSO input:
```
&SYSTEM
  ibrav = 0, nat = 12, ntyp = 4
/
ATOMIC_SPECIES
Na 22.99 Na.upf
Cd 112.41 Cd.upf
Sn 118.71 Sn.upf
S 32.06 S.upf
CELL_PARAMETERS angstrom
3.3443 -5.7859 0.0000
3.3443 5.7859 0.0000
-2.2492 0.0000 6.7216
ATOMIC_POSITIONS angstrom
Na 0.0000 0.0000 0.0000
Na 3.3443 1.9509 0.0000
Na 3.3443 -1.9509 0.0000
Cd 2.2197 3.8570 3.3608
Cd 2.2197 -3.8570 3.3608
Sn 2.2197 0.0000 3.3608
S 1.1663 1.8399 1.8670
S 0.0976 0.0000 4.8343
S 1.1663 -1.8399 1.8670
S 3.2731 1.8399 4.8545
S 4.3417 0.0000 1.8872
S 3.2731 -1.8399 4.8545
```

Record 9
An optimized crystal structure of Na3CdSn3S8, computed with PBE-GGA. Values from VASP.

- Theoretical density: 3.8 g/cm³
- Total magnetic moment: 0.000 μB/f.u.
- SG: R-3m, No. 166
- Uncorrected formation energy: -0.643 eV/atom

Geometry as Quantum ESPRESSO input:
```
&SYSTEM
  ibrav = 0, nat = 15, ntyp = 4
/
ATOMIC_SPECIES
Na 22.99 Na.upf
Cd 112.41 Cd.upf
Sn 118.71 Sn.upf
S 32.06 S.upf
CELL_PARAMETERS angstrom
3.8202 2.2056 6.8136
-3.8202 2.2056 6.8136
0.0000 -4.4112 6.8136
ATOMIC_POSITIONS angstrom
Na -1.9101 -1.1028 6.8136
Na -1.9101 1.1028 13.6273
Na 0.0000 2.2056 6.8136
Cd 0.0000 0.0000 10.2205
Sn -3.8202 0.0000 10.2205
Sn -1.9101 1.1028 3.4068
Sn 1.9101 1.1028 3.4068
S -1.9689 -1.1367 11.6937
S 0.0000 0.0000 4.9487
S 0.0000 -2.2734 8.7472
S -1.9689 1.1367 8.7472
S 1.9689 -1.1367 11.6937
S 0.0000 2.2734 11.6937
S 0.0000 0.0000 15.4923
S 1.9689 1.1367 8.7472
```

Record 10
An optimized crystal structure of NaSr2CdS, computed with PBE-GGA. Values from VASP.

- Theoretical density: 3.2 g/cm³
- Total magnetic moment: 0.001 μB/f.u.
- SG: P4/mmm, No. 123
- Uncorrected formation energy: -0.758 eV/atom

Geometry as Quantum ESPRESSO input:
```
&SYSTEM
  ibrav = 0, nat = 5, ntyp = 4
/
ATOMIC_SPECIES
Na 22.99 Na.upf
Sr 87.62 Sr.upf
Cd 112.41 Cd.upf
S 32.06 S.upf
CELL_PARAMETERS angstrom
5.8066 0.0000 0.0000
0.0000 5.8066 0.0000
0.0000 0.0000 5.2520
ATOMIC_POSITIONS angstrom
Na 0.0000 0.0000 0.0000
Sr 0.0000 2.9033 2.6260
Sr 2.9033 0.0000 2.6260
Cd 2.9033 2.9033 0.0000
S 0.0000 0.0000 2.6260
```

Record 11
An optimized crystal structure of Na2TaCdS4, computed with PBE-GGA. Values from VASP.

- Theoretical density: 3.5 g/cm³
- Total magnetic moment: 0.000 μB/f.u.
- SG: I-4, No. 82
- Uncorrected formation energy: -0.871 eV/atom

Geometry as Quantum ESPRESSO input:
```
&SYSTEM
  ibrav = 0, nat = 8, ntyp = 4
/
ATOMIC_SPECIES
Na 22.99 Na.upf
Ta 180.95 Ta.upf
Cd 112.41 Cd.upf
S 32.06 S.upf
CELL_PARAMETERS angstrom
-3.0864 3.0864 5.8839
3.0864 -3.0864 5.8839
3.0864 3.0864 -5.8839
ATOMIC_POSITIONS angstrom
Na 0.0000 0.0000 0.0000
Na 0.0000 3.0864 2.9420
Ta 3.0864 0.0000 2.9420
Cd 0.0000 0.0000 5.8839
S 1.3849 1.8108 -1.5963
S 4.3620 1.3849 1.5963
S 1.7015 1.2756 4.2877
S -1.2756 1.7015 7.4802
```

Record 12
An optimized crystal structure of Na2CdTeS4, computed with PBE-GGA. Values from VASP.

- Theoretical density: 3.9 g/cm³
- Total magnetic moment: 0.000 μB/f.u.
- SG: Imma, No. 74
- Uncorrected formation energy: -0.584 eV/atom

Geometry as Quantum ESPRESSO input:
```
&SYSTEM
  ibrav = 0, nat = 16, ntyp = 4
/
ATOMIC_SPECIES
Na 22.99 Na.upf
Cd 112.41 Cd.upf
Te 127.60 Te.upf
S 32.06 S.upf
CELL_PARAMETERS angstrom
-3.9170 4.0046 5.6710
3.9170 -4.0046 5.6710
3.9170 4.0046 -5.6710
ATOMIC_POSITIONS angstrom
Na 0.0000 0.0000 0.0000
Na -1.9585 2.0023 2.8355
Na 0.0000 4.0046 0.0000
Na 1.9585 2.0023 2.8355
Cd 3.9170 0.0000 0.0000
Cd 0.0000 0.0000 5.6710
Te 1.9585 2.0023 -2.8355
Te 1.9585 -2.0023 2.8355
S 3.9170 3.8658 -2.8342
S 3.9170 -0.1387 2.8342
S 2.0720 2.0023 -0.1430
S 5.7619 2.0023 -0.1430
S -1.8450 2.0023 5.8140
S 1.8450 2.0023 5.8140
S 0.0000 4.1433 2.8367
S 0.0000 0.1387 8.5052
```

| no. | calculated total energy (eV per atom) |
| --- | --- |
| 1 | -3.765 |
| 2 | -3.874 |
| 3 | -3.026 |
| 4 | -3.749 |
| 5 | -3.794 |
| 6 | -3.801 |
| 7 | -3.928 |
| 8 | -3.578 |
| 9 | -3.970 |
| 10 | -2.703 |
| 11 | -4.860 |
| 12 | -3.484 |